# CrAgNO2

An optimized crystal structure of CrAgNO2 (GGA+U, the Alexandria database).

For the total DFT energy (no corrections), the calculation gives -23.73 eV per formula unit. Its density of states at the Fermi level is 3.94 states/eV/cell.

Geometry as POSCAR:
```
CrAgNO2
1.0
4.070 0.000 0.000
0.000 4.070 0.000
0.000 0.000 3.971
Cr Ag N O
1 1 1 2
Direct
0.000 0.000 0.000 Cr
0.500 0.500 0.500 Ag
0.500 0.500 0.000 N
0.000 0.500 0.500 O
0.500 0.000 0.500 O
```